VASP calculation (PBE) on Ce4CoTe after structural relaxation.

The structure in POSCAR format:
```
Ce4CoTe
1.0
6.243 -0.479 0.000
-1.579 7.706 0.000
-2.332 -3.613 6.941
Ce Co Te
8 2 2
direct
0.301 0.933 0.545 Ce
0.035 0.858 0.137 Ce
0.256 0.389 0.455 Ce
0.398 0.720 0.863 Ce
0.699 0.067 0.455 Ce
0.744 0.611 0.545 Ce
0.965 0.142 0.863 Ce
0.602 0.280 0.137 Ce
0.827 0.077 0.154 Co
0.173 0.923 0.846 Co
0.347 0.597 0.193 Te
0.653 0.403 0.807 Te
```

Calculated values
As for the energy relative to the elements, uncorrected: -0.371 eV/atom.

---

VASP calculation (PBE) on Ce4Co2Te after structural relaxation.

The structure in POSCAR format:
```
Ce4Co2Te
1.0
7.449 -1.489 -0.146
-2.022 7.323 0.145
-2.607 -3.016 6.468
Ce Co Te
8 4 2
direct
0.992 0.229 0.404 Ce
0.425 0.521 0.263 Ce
0.826 0.589 0.596 Ce
0.771 0.174 0.763 Ce
0.411 0.007 0.237 Ce
0.257 0.161 0.737 Ce
0.479 0.743 0.904 Ce
0.839 0.575 0.096 Ce
0.501 0.375 0.627 Co
0.748 0.875 0.374 Co
0.625 0.252 0.126 Co
0.125 0.499 0.874 Co
0.250 0.750 0.500 Te
0.000 0.000 0.000 Te
```

Calculated values
As for the energy relative to the elements, uncorrected: -0.455 eV/atom.

---

VASP calculation (PBE) on Ce3ThCo after structural relaxation.

The structure in POSCAR format:
```
Ce3ThCo
1.0
-4.597 -0.503 3.435
-1.829 -1.445 -5.408
1.828 -7.410 1.361
Ce Th Co
6 2 2
direct
0.798 0.219 0.971 Ce
0.202 0.781 0.029 Ce
0.798 0.219 0.529 Ce
0.202 0.781 0.471 Ce
0.262 0.109 0.750 Ce
0.738 0.891 0.250 Ce
0.657 0.699 0.750 Th
0.343 0.301 0.250 Th
0.107 0.554 0.750 Co
0.893 0.446 0.250 Co
```

Calculated values
For the formation enthalpy at 0 K, the calculation gives -0.038 eV per atom.

---

VASP calculation (PBE) on CeTh2Co9 after structural relaxation.

The structure in POSCAR format:
```
CeTh2Co9
1.0
-0.115 4.832 1.046
-1.950 3.186 -3.241
-8.216 1.717 2.857
Ce Th Co
1 2 9
direct
0.000 0.000 0.000 Ce
0.864 0.864 0.409 Th
0.136 0.136 0.591 Th
0.667 0.667 0.998 Co
0.333 0.333 0.002 Co
0.500 0.500 0.500 Co
0.421 0.421 0.239 Co
0.919 0.421 0.239 Co
0.421 0.919 0.239 Co
0.579 0.579 0.761 Co
0.579 0.081 0.761 Co
0.081 0.579 0.761 Co
```

Calculated values
For the formation enthalpy at 0 K, the calculation gives -0.171 eV per atom.

---

VASP calculation (PBE) on Ce3ThCo8 after structural relaxation.

The structure in POSCAR format:
```
Ce3ThCo8
1.0
-3.139 0.460 3.899
1.495 -1.354 4.604
2.220 7.292 4.167
Ce Th Co
3 1 8
direct
0.372 0.372 0.884 Ce
0.005 0.005 0.985 Ce
0.495 0.495 0.515 Ce
0.877 0.877 0.368 Th
0.935 0.439 0.186 Co
0.439 0.937 0.688 Co
0.439 0.439 0.186 Co
0.937 0.937 0.688 Co
0.187 0.187 0.438 Co
0.688 0.688 0.937 Co
0.439 0.935 0.186 Co
0.937 0.439 0.688 Co
```

Calculated values
For the formation enthalpy at 0 K, the calculation gives -0.244 eV per atom.

---

VASP calculation (PBE) on CeTh2Co6 after structural relaxation.

The structure in POSCAR format:
```
CeTh2Co6
1.0
3.652 0.000 0.000
1.826 7.157 0.583
1.826 2.614 6.688
Ce Th Co
1 2 6
direct
0.500 0.500 0.500 Ce
0.356 0.144 0.144 Th
0.644 0.856 0.856 Th
0.186 0.554 0.074 Co
0.814 0.446 0.926 Co
0.814 0.926 0.446 Co
0.000 0.240 0.760 Co
0.000 0.760 0.240 Co
0.186 0.074 0.554 Co
```

Calculated values
For the formation enthalpy at 0 K, the calculation gives 0.108 eV per atom.

---

VASP calculation (PBE) on Ce3Th4Co2 after structural relaxation.

The structure in POSCAR format:
```
Ce3Th4Co2
1.0
3.458 0.000 -0.954
-0.858 8.100 -3.112
0.505 -0.995 8.579
Ce Th Co
3 4 2
direct
0.068 0.177 0.136 Ce
0.932 0.823 0.864 Ce
0.000 0.500 0.000 Ce
0.233 0.653 0.467 Th
0.767 0.347 0.533 Th
0.637 0.889 0.273 Th
0.363 0.111 0.727 Th
0.403 0.548 0.806 Co
0.597 0.452 0.194 Co
```

Calculated values
For the formation enthalpy at 0 K, the calculation gives -0.104 eV per atom.

---

VASP calculation (PBE) on Ce5ThCo2 after structural relaxation.

The structure in POSCAR format:
```
Ce5ThCo2
1.0
4.107 0.002 0.988
1.960 6.610 0.891
0.522 -0.832 6.882
Ce Th Co
5 1 2
direct
0.000 0.500 0.500 Ce
0.343 0.456 0.859 Ce
0.657 0.544 0.141 Ce
0.657 0.141 0.544 Ce
0.343 0.859 0.456 Ce
0.000 0.000 0.000 Th
0.260 0.241 0.241 Co
0.740 0.759 0.759 Co
```

Calculated values
For the formation enthalpy at 0 K, the calculation gives 0.032 eV per atom.

---

Calculated total energy across the listed records, respectively: -6.035; -6.325; -6.504; -7.231; -7.083; -6.938; -6.959; -6.380 eV/atom.